[1]
This record from Alexandria via LeMat-Bulk describes Nb2AgN2 at its PBEsol-relaxed geometry. The functional is meta-GGA SCAN.

a b c (Å): 4.0596 4.0596 5.2881
angles (deg): 112.57 112.57 90.00
Last column: nearest neighbours and their distance in Å.
Element x y z (fractional)
Nb (0.7500, 0.2500, 0.5000)  4 N 2.10
Nb (0.2500, 0.7500, 0.5000)  4 N 2.10
N (0.6892, 0.6892, 0.3784)  4 Nb 2.10
N (0.3108, 0.3108, 0.6216)  4 Nb 2.10
Ag (0.0000, 0.0000, 0.0000)  2 N 2.76, 8 Nb 3.01

Its calculated total energy is -117.67 eV for the cell shown. The formation energy without anion corrections is -28.2 kJ/mol of atoms. Its space group is I4/mmm (139). For the total magnetization, the calculation gives 0.00 μB per cell.

[2]
This record from Alexandria via LeMat-Bulk describes AgBiTe2 at its PBEsol-relaxed geometry. The functional is meta-GGA SCAN.

a b c (Å): 6.6391 6.6391 8.1826
angles (deg): 113.93 113.93 90.00
Last column: nearest neighbours and their distance in Å.
Element x y z (fractional)
Ag (0.5000, 0.5000, 0.0000)  4 Te 2.75
Ag (0.7500, 0.2500, 0.5000)  4 Te 2.75
Te (0.6250, 0.5889, 0.7500)  2 Ag 2.75, 2 Bi 3.03
Te (0.1250, 0.1611, 0.7500)  2 Ag 2.75, 2 Bi 3.03
Te (0.8389, 0.3750, 0.2500)  2 Ag 2.75, 2 Bi 3.03
Te (0.4111, 0.8750, 0.2500)  2 Ag 2.75, 2 Bi 3.03
Bi (0.2500, 0.7500, 0.5000)  4 Te 3.03
Bi (0.0000, 0.0000, 0.0000)  4 Te 3.03

Its calculated total energy is -368.95 eV for the cell shown. The formation energy without anion corrections is -0.6 kJ/mol of atoms. Its space group is I-42d (122). For the total magnetization, the calculation gives 0.00 μB per cell.

[3]
This record from Alexandria via LeMat-Bulk describes LiH3O2 at its PBEsol-relaxed geometry. The functional is meta-GGA SCAN.

a b c (Å): 3.1310 5.5039 5.5039
angles (deg): 96.49 103.74 103.74
Last column: nearest neighbours and their distance in Å.
Element x y z (fractional)
O (0.0000, 0.7951, 0.2049)  2 H 1.03
O (0.6091, 0.7168, 0.7168)  1 H 0.98
O (0.0000, 0.2049, 0.7951)  2 H 1.03
O (0.3909, 0.2832, 0.2832)  1 H 0.98
H (0.8519, 0.0117, 0.7558)  1 O 1.03
H (0.8519, 0.7558, 0.0117)  1 O 1.03
H (0.3119, 0.7339, 0.7339)  1 O 0.98
H (0.1481, 0.2442, 0.9883)  1 O 1.03
H (0.1481, 0.9883, 0.2442)  1 O 1.03
H (0.6881, 0.2661, 0.2661)  1 O 0.98
Li (0.5000, 0.6557, 0.3443)  4 O 1.94-1.97
Li (0.5000, 0.3443, 0.6557)  4 O 1.94-1.97

Its calculated total energy is -66.98 eV for the cell shown. Its space group is C2/m (12). For the total magnetization, the calculation gives 0.00 μB per cell.

[4]
This record from Alexandria via LeMat-Bulk describes LaGeBr2 at its PBEsol-relaxed geometry. The functional is meta-GGA SCAN.

a b c (Å): 3.6155 3.6155 10.1757
angles (deg): 79.77 79.77 60.00
Last column: nearest neighbours and their distance in Å.
Element x y z (fractional)
Ge (0.0000, 0.0000, 0.0000)  2 Br 2.81
Br (0.0939, 0.0939, 0.7182)  1 Ge 2.81, 3 La 3.01
Br (0.9061, 0.9061, 0.2818)  1 Ge 2.81, 3 La 3.01
La (0.5000, 0.5000, 0.5000)  6 Br 3.01

Its calculated total energy is -104.59 eV for the cell shown. The formation energy without anion corrections is -84.0 kJ/mol of atoms. Its space group is R-3m (166). The calculation puts the energy relative to the lowest polymorph listed for this composition at 0 meV/atom. For the total magnetization, the calculation gives 0.00 μB per cell.